# 1
Compound: Mg4TcRh
Source: the Alexandria database
Functional: PBEsol
Structure: optimized geometry

Results
energy relative to the elements: 0.567 eV per atom
symmetry: F-43m, No. 216
M_tot: 0.29 μB/atom
ρ: 4.9 g/cm3

Cell: 5.2347 5.2347 5.2347 Å, 60.00 60.00 60.00°
Each line ends with the local moment (μB).
Sites, in units of the cell vectors:
Mg 0.3747 0.3747 0.8759  -0.01
Mg 0.3747 0.8759 0.3747  -0.01
Mg 0.8759 0.3747 0.3747  -0.01
Tc 0.0000 0.0000 0.0000  1.37
Mg 0.3747 0.3747 0.3747  -0.01
Rh 0.7500 0.7500 0.7500  0.35

# 2
Compound: MgTeRh2
Source: the Alexandria database
Functional: PBEsol
Structure: optimized geometry

Results
energy relative to the elements, uncorrected: -0.301 eV/atom
symmetry: Fm-3m, No. 225
M_tot: 0.00 μB/atom
energy above the most stable polymorph in this dataset: 54.6 meV per atom
ρ: 9.3 g/cm3

Cell: 4.4801 4.4801 4.4801 Å, 60.00 60.00 60.00°
Sites, in units of the cell vectors:
Mg 0.0000 0.0000 0.0000
Te 0.5000 0.5000 0.5000
Rh 0.2500 0.2500 0.2500
Rh 0.7500 0.7500 0.7500

# 3
Compound: MgTe2Rh
Source: the Alexandria database
Functional: PBEsol
Structure: optimized geometry

Results
energy relative to the elements, uncorrected: -0.417 eV/atom
symmetry: R-3m, No. 166
M_tot: 0.00 μB/atom
ρ: 7.0 g/cm3

Cell: 4.0149 4.0149 6.8867 Å, 73.05 73.05 60.00°
Sites, in units of the cell vectors:
Te 0.2631 0.2631 0.2106
Te 0.7369 0.7369 0.7894
Rh 0.0000 0.0000 0.0000
Mg 0.5000 0.5000 0.5000

# 4
Compound: MgTe2Rh
Source: the Alexandria database
Functional: PBEsol
Structure: optimized geometry

Results
energy relative to the elements, uncorrected: -0.233 eV/atom
symmetry: I-42d, No. 122
M_tot: 0.00 μB/atom
ρ: 5.5 g/cm3

Cell: 6.0339 6.0339 7.6833 Å, 113.12 113.12 90.00°
Sites, in units of the cell vectors:
Mg 0.5000 0.5000 0.0000
Te 0.3350 0.8750 0.2500
Rh 0.0000 0.0000 0.0000
Rh 0.2500 0.7500 0.5000
Te 0.1250 0.0850 0.7500
Te 0.9150 0.3750 0.2500
Te 0.6250 0.6650 0.7500
Mg 0.7500 0.2500 0.5000

> The highest ρ belongs to which entry?

MgTeRh2

> Among the records above, which one has the highest M_tot?

Mg4TcRh

> Number 4 is which compound?

MgTe2Rh